The following is a DFT calculation (PBE-GGA) of crystalline NaCa2ScNi at its relaxed geometry.

Computed properties:
* energy of formation from the pure elements: 0.012 eV per atom

Cell: 5.635 5.635 4.883 Å, 90.00 90.00 90.00°
Space group P4/mmm (No. 123)
Symmetry-distinct sites (fractional):
1 Na 0.000 0.000 0.000 (multiplicity 1)
2 Ca 0.000 0.500 0.500 (multiplicity 2)
3 Sc 0.500 0.500 0.000 (multiplicity 1)
4 Ni 0.500 0.500 0.500 (multiplicity 1)


The following is a DFT calculation (PBE-GGA) of crystalline PtOF at its relaxed geometry.

Computed properties:
* offset from the most stable computed form: 0 meV/atom
* uncorrected formation energy: -605 meV/atom

Cell: 6.694 6.694 3.467 Å, 90.00 90.00 90.00°
Space group P4_2/m (No. 84)
Symmetry-distinct sites (fractional):
1 Pt 0.229 0.231 0.000 (multiplicity 4)
2 O 0.066 0.746 0.000 (multiplicity 4)
3 F 0.239 0.455 0.500 (multiplicity 4)


The following is a DFT calculation (PBE-GGA) of crystalline LuGaSb2 at its relaxed geometry.

Computed properties:
* uncorrected formation energy: -301 meV/atom

Cell: 4.0986 4.0986 22.1239 Å, 90.00 90.00 120.00°
Space group R-3m (No. 166, hexagonal axes)
Symmetry-distinct sites (fractional):
1 Lu 0.0000 0.0000 0.0000 (multiplicity 3)
2 Ga 0.0000 0.0000 0.5000 (multiplicity 3)
3 Sb 0.0000 0.0000 0.2446 (multiplicity 6)


The following is a DFT calculation (PBE-GGA) of crystalline NbPt2C2 at its relaxed geometry.

Computed properties:
* offset from the most stable computed form: 450 meV/atom
* energy of formation from the pure elements: 1.326 eV per atom

Cell: 6.964 6.964 2.866 Å, 90.00 90.00 90.00°
Space group P4/mbm (No. 127)
Symmetry-distinct sites (fractional):
1 Nb 0.000 0.000 0.000 (multiplicity 2)
2 Pt 0.131 0.369 0.000 (multiplicity 4)
3 C 0.225 0.725 0.500 (multiplicity 4)


The following is a DFT calculation (PBE-GGA) of crystalline CaGePt2 at its relaxed geometry.

Computed properties:
* energy of formation from the pure elements: -0.695 eV per atom

Cell: 5.633 7.941 3.819 Å, 90.00 90.00 90.00°
Space group Cmmm (No. 65)
Symmetry-distinct sites (fractional):
1 Ca 0.000 0.000 0.000 (multiplicity 2)
2 Ge 0.000 0.500 0.500 (multiplicity 2)
3 Pt 0.250 0.250 0.500 (multiplicity 4)


The following is a DFT calculation (PBE-GGA) of crystalline Al3Zn5Sn12 at its relaxed geometry.

Computed properties:
* energy of formation from the pure elements: 0.177 eV per atom

Cell: 16.369 16.369 16.369 Å, 90.00 90.00 90.00°
Space group Ia-3d (No. 230)
Symmetry-distinct sites (fractional):
1 Al 0.000 0.250 0.125 (multiplicity 24)
2 Zn 0.000 0.000 0.000 (multiplicity 16)
3 Zn 0.000 0.250 0.375 (multiplicity 24)
4 Sn 0.020 0.077 0.649 (multiplicity 96)


The following is a DFT calculation (PBE-GGA) of crystalline Hf2TlCr2 at its relaxed geometry.

Computed properties:
* offset from the most stable computed form: 295 meV/atom
* energy of formation from the pure elements: 0.477 eV per atom

Cell: 7.887 7.887 3.242 Å, 90.00 90.00 90.00°
Space group P4/mbm (No. 127)
Symmetry-distinct sites (fractional):
1 Hf 0.140 0.360 0.000 (multiplicity 4)
2 Tl 0.000 0.000 0.000 (multiplicity 2)
3 Cr 0.147 0.647 0.500 (multiplicity 4)


The following is a DFT calculation (PBE-GGA) of crystalline RbTl2Ag at its relaxed geometry.

Computed properties:
* offset from the most stable computed form: 34 meV/atom
* energy of formation from the pure elements: 0.008 eV per atom

Cell: 3.743 3.743 8.796 Å, 90.00 90.00 90.00°
Space group P4/mmm (No. 123)
Symmetry-distinct sites (fractional):
1 Rb 0.000 0.000 0.000 (multiplicity 1)
2 Tl 0.500 0.500 0.311 (multiplicity 2)
3 Ag 0.000 0.000 0.500 (multiplicity 1)


The following is a DFT calculation (PBE-GGA) of crystalline ScRu2Pb at its relaxed geometry.

Computed properties:
* energy of formation from the pure elements: 0.049 eV per atom

Cell: 3.085 4.154 5.563 Å, 90.00 90.00 90.00°
Space group Pmm2 (No. 25)
Symmetry-distinct sites (fractional):
1 Sc 0.000 0.000 0.000 (multiplicity 1)
2 Ru 0.000 0.000 0.549 (multiplicity 1)
3 Ru 0.500 0.500 0.790 (multiplicity 1)
4 Pb 0.500 0.500 0.304 (multiplicity 1)


The following is a DFT calculation (PBE-GGA) of crystalline Al2ReH at its relaxed geometry.

Computed properties:
* offset from the most stable computed form: 0 meV/atom

Cell: 6.283 6.283 4.769 Å, 90.00 90.00 90.00°
Space group I-42d (No. 122)
Symmetry-distinct sites (fractional):
1 Al 0.165 0.250 0.125 (multiplicity 8)
2 Re 0.000 0.000 0.500 (multiplicity 4)
3 H 0.000 0.000 0.000 (multiplicity 4)


The following is a DFT calculation (PBE-GGA) of crystalline YAgTe2I at its relaxed geometry.

Computed properties:
* offset from the most stable computed form: 155 meV/atom
* uncorrected formation energy: -65 meV/atom

Cell: 5.506 5.506 5.406 Å, 90.00 90.00 90.00°
Space group P4/mmm (No. 123)
Symmetry-distinct sites (fractional):
1 Y 0.000 0.000 0.000 (multiplicity 1)
2 Ag 0.500 0.500 0.500 (multiplicity 1)
3 Te 0.000 0.500 0.500 (multiplicity 2)
4 I 0.500 0.500 0.000 (multiplicity 1)


The following is a DFT calculation (PBE-GGA) of crystalline VFeMoRu at its relaxed geometry.

Computed properties:
* energy of formation from the pure elements: -0.025 eV per atom

Cell: 6.032 6.032 6.032 Å, 90.00 90.00 90.00°
Space group F-43m (No. 216)
Symmetry-distinct sites (fractional):
1 V 0.000 0.000 0.000 (multiplicity 4)
2 Fe 0.000 0.000 0.500 (multiplicity 4)
3 Mo 0.250 0.250 0.250 (multiplicity 4)
4 Ru 0.250 0.250 0.750 (multiplicity 4)


The following is a DFT calculation (PBE-GGA) of crystalline La2FeSe at its relaxed geometry.

Computed properties:
* uncorrected formation energy: -556 meV/atom

Cell: 3.701 4.507 11.671 Å, 90.00 90.00 90.00°
Space group Imm2 (No. 44)
Symmetry-distinct sites (fractional):
1 La 0.000 0.000 0.000 (multiplicity 2)
2 La 0.000 0.500 0.232 (multiplicity 2)
3 Fe 0.000 0.500 0.760 (multiplicity 2)
4 Se 0.000 0.000 0.415 (multiplicity 2)


The following is a DFT calculation (PBE-GGA) of crystalline FeCo2P at its relaxed geometry.

Computed properties:
* energy of formation from the pure elements: -0.022 eV per atom

Cell: 2.6071 2.6071 22.4800 Å, 90.00 90.00 120.00°
Space group R3m (No. 160, hexagonal axes)
Symmetry-distinct sites (fractional):
1 Fe 0.0000 0.0000 0.0000 (multiplicity 3)
2 Co 0.0000 0.0000 0.5108 (multiplicity 3)
3 Co 0.0000 0.0000 0.7538 (multiplicity 3)
4 P 0.0000 0.0000 0.2536 (multiplicity 3)


The following is a DFT calculation (PBE-GGA) of crystalline FeTe2IrI at its relaxed geometry.

Computed properties:
* offset from the most stable computed form: 0 meV/atom
* uncorrected formation energy: 961 meV/atom

Cell: 5.232 5.232 5.475 Å, 90.00 90.00 90.00°
Space group P4/mmm (No. 123)
Symmetry-distinct sites (fractional):
1 Fe 0.000 0.000 0.000 (multiplicity 1)
2 Te 0.000 0.500 0.500 (multiplicity 2)
3 Ir 0.500 0.500 0.500 (multiplicity 1)
4 I 0.500 0.500 0.000 (multiplicity 1)


The following is a DFT calculation (PBE-GGA) of crystalline Co2TcBr at its relaxed geometry.

Computed properties:
* offset from the most stable computed form: 378 meV/atom
* uncorrected formation energy: 891 meV/atom

Cell: 4.247 4.247 6.023 Å, 90.00 90.00 90.00°
Space group I-4m2 (No. 119)
Symmetry-distinct sites (fractional):
1 Co 0.000 0.000 0.000 (multiplicity 2)
2 Co 0.000 0.500 0.250 (multiplicity 2)
3 Tc 0.000 0.500 0.750 (multiplicity 2)
4 Br 0.000 0.000 0.500 (multiplicity 2)


The following is a DFT calculation (PBE-GGA) of crystalline Ce4AsP3 at its relaxed geometry.

Computed properties:
* energy of formation from the pure elements: -1.469 eV per atom

Cell: 5.831 5.831 5.831 Å, 90.00 90.00 90.00°
Space group Pm-3m (No. 221)
Symmetry-distinct sites (fractional):
1 Ce 0.000 0.000 0.000 (multiplicity 1)
2 Ce 0.000 0.500 0.500 (multiplicity 3)
3 As 0.500 0.500 0.500 (multiplicity 1)
4 P 0.000 0.000 0.500 (multiplicity 3)


The following is a DFT calculation (PBE-GGA) of crystalline Li5Ag3Pb3 at its relaxed geometry.

Computed properties:
* energy of formation from the pure elements: -0.037 eV per atom

Cell: 9.5084 9.5084 3.1918 Å, 90.00 90.00 120.00°
Space group P-62m (No. 189)
Symmetry-distinct sites (fractional):
1 Li 0.0000 0.3225 0.0000 (multiplicity 3)
2 Li 0.3333 0.6667 0.0000 (multiplicity 2)
3 Ag 0.0000 0.8322 0.0000 (multiplicity 3)
4 Pb 0.0000 0.5785 0.5000 (multiplicity 3)


The following is a DFT calculation (PBE-GGA) of crystalline Er3CrS6 at its relaxed geometry.

Computed properties:
* offset from the most stable computed form: 100 meV/atom
* uncorrected formation energy: -1622 meV/atom

Cell: 10.536 13.027 6.512 Å, 90.00 90.00 90.00°
Space group Cmc2_1 (No. 36)
Symmetry-distinct sites (fractional):
1 Er 0.000 0.099 0.000 (multiplicity 4)
2 Er 0.184 0.399 0.916 (multiplicity 8)
3 Cr 0.000 0.306 0.380 (multiplicity 4)
4 S 0.000 0.279 0.732 (multiplicity 4)
5 S 0.000 0.461 0.211 (multiplicity 4)
6 S 0.163 0.028 0.708 (multiplicity 8)
7 S 0.163 0.237 0.201 (multiplicity 8)


The following is a DFT calculation (PBE-GGA) of crystalline BaCdPb2 at its relaxed geometry.

Computed properties:
* energy of formation from the pure elements: -0.216 eV per atom

Cell: 5.133 5.133 10.198 Å, 90.00 90.00 90.00°
Space group I4/mmm (No. 139)
Symmetry-distinct sites (fractional):
1 Ba 0.000 0.000 0.000 (multiplicity 2)
2 Cd 0.000 0.000 0.500 (multiplicity 2)
3 Pb 0.000 0.500 0.250 (multiplicity 4)